(1)
A PBEsol-optimized structure of TaHgRh. Source: Alexandria via LeMat-Bulk, functional meta-GGA SCAN.

Values from the calculation:
Final energy   -168.8 eV for the cell shown
Crystal system   tetragonal
Symmetry   I4mm
Magnetic moment   0.0 μB/cell

Lattice parameters (Å, degrees): 6.2224 6.2224 6.2224 152.70 152.70 38.99
Last column: nearest neighbours and their distance in Å.
Element x y z (fractional)
Ta1 0.0000 0.0000 0.0000  4 Rh 2.65, 4 Ta 2.94
Hg1 0.3140 0.3140 0.0000  4 Rh 2.91, 4 Hg 2.94, 4 Ta 3.01
Rh1 0.6402 0.6402 0.0000  4 Ta 2.65, 4 Hg 2.91, 4 Rh 2.94

---

(2)
A PBEsol-optimized structure of Ta2HgRh. Source: Alexandria via LeMat-Bulk, functional meta-GGA SCAN.

Values from the calculation:
Final energy   -235.0 eV for the cell shown
Crystal system   trigonal
Symmetry   R3m
Magnetic moment   0.0 μB/cell

Lattice parameters (Å, degrees): 8.9491 8.9491 8.9491 19.66 19.66 19.66
Last column: nearest neighbours and their distance in Å.
Element x y z (fractional)
Ta1 0.0000 0.0000 0.0000  9 Ta 2.84-3.06, 3 Hg 2.97
Ta2 0.2489 0.2489 0.2489  3 Rh 2.57, 3 Ta 2.84
Hg1 0.7572 0.7572 0.7572  3 Rh 2.90, 3 Ta 2.97, 6 Hg 3.06
Rh1 0.5113 0.5113 0.5113  3 Ta 2.57

---

(3)
A PBEsol-optimized structure of HgTe2Rh2. Source: Alexandria via LeMat-Bulk, functional meta-GGA SCAN.

Values from the calculation:
Final energy   -210.0 eV for the cell shown
E_form (uncorrected)   0.05 eV per atom
Crystal system   tetragonal
Symmetry   I4/mmm
Distance to the lowest polymorph of the same formula   7.80 kcal/mol of atoms
Magnetic moment   0.0 μB/cell

Lattice parameters (Å, degrees): 5.8983 5.8983 5.8983 132.55 132.55 69.36
Last column: nearest neighbours and their distance in Å.
Element x y z (fractional)
Hg1 0.0000 0.0000 0.0000  8 Te 3.39, 10 Rh 3.58-3.59
Te1 0.2500 0.7500 0.5000  4 Rh 2.64
Te2 0.7500 0.2500 0.5000  4 Rh 2.64
Rh1 0.3690 0.3690 0.0000  1 Rh 2.54, 4 Te 2.64
Rh2 0.6310 0.6310 0.0000  1 Rh 2.54, 4 Te 2.64

---

(4)
A PBEsol-optimized structure of HgTe2Rh2. Source: Alexandria via LeMat-Bulk, functional meta-GGA SCAN.

Values from the calculation:
Final energy   -211.7 eV for the cell shown
E_form (uncorrected)   -0.29 eV per atom
Crystal system   tetragonal
Symmetry   I4/mmm
Distance to the lowest polymorph of the same formula   0.00 kcal/mol of atoms
Magnetic moment   0.0 μB/cell

Lattice parameters (Å, degrees): 7.9593 7.9593 7.9593 151.17 151.17 41.23
Last column: nearest neighbours and their distance in Å.
Element x y z (fractional)
Hg1 0.0000 0.0000 0.0000  8 Te 3.49
Te1 0.3609 0.3609 0.0000  4 Rh 2.58
Te2 0.6391 0.6391 0.0000  4 Rh 2.58
Rh1 0.2500 0.7500 0.5000  4 Te 2.58, 4 Rh 2.80
Rh2 0.7500 0.2500 0.5000  4 Te 2.58, 4 Rh 2.80

---

(5)
A PBEsol-optimized structure of Ti2HgRh2. Source: Alexandria via LeMat-Bulk, functional meta-GGA SCAN.

Values from the calculation:
Final energy   -342.2 eV for the cell shown
Crystal system   tetragonal
Symmetry   P4/mbm
Magnetic moment   0.0 μB/cell

Lattice parameters (Å, degrees): 7.3400 7.3400 2.9262 90.00 90.00 90.00
Last column: nearest neighbours and their distance in Å.
Element x y z (fractional)
Ti1 0.1601 0.3399 0.0000  6 Rh 2.58-2.62
Ti2 0.3399 0.8399 0.0000  6 Rh 2.58-2.62
Ti3 0.6601 0.1601 0.0000  6 Rh 2.58-2.62
Ti4 0.8399 0.6601 0.0000  6 Rh 2.58-2.62
Hg1 0.0000 0.0000 0.5000  4 Rh 2.86, 2 Hg 2.93, 8 Ti 3.12
Hg2 0.5000 0.5000 0.5000  4 Rh 2.86, 2 Hg 2.93, 8 Ti 3.12
Rh1 0.1348 0.6348 0.5000  6 Ti 2.58-2.62, 1 Rh 2.80, 2 Hg 2.86
Rh2 0.3652 0.1348 0.5000  6 Ti 2.58-2.62, 1 Rh 2.80, 2 Hg 2.86
Rh3 0.6348 0.8652 0.5000  6 Ti 2.58-2.62, 1 Rh 2.80, 2 Hg 2.86
Rh4 0.8652 0.3652 0.5000  6 Ti 2.58-2.62, 1 Rh 2.80, 2 Hg 2.86

---

(6)
A PBEsol-optimized structure of TlHg2Rh. Source: Alexandria via LeMat-Bulk, functional meta-GGA SCAN.

Values from the calculation:
Final energy   -241.3 eV for the cell shown
Crystal system   orthorhombic
Symmetry   Pmmm
Magnetic moment   0.0 μB/cell

Lattice parameters (Å, degrees): 3.3266 4.6095 5.1206 90.00 90.00 90.00
Last column: nearest neighbours and their distance in Å.
Element x y z (fractional)
Tl1 0.0000 0.0000 0.0000  4 Rh 2.84, 4 Hg 3.05
Hg1 0.0000 0.5000 0.5000  4 Hg 2.84, 4 Rh 3.05
Hg2 0.5000 0.0000 0.5000  4 Hg 2.84, 4 Tl 3.05
Rh1 0.5000 0.5000 0.0000  4 Tl 2.84, 4 Hg 3.05

---

(7)
A PBEsol-optimized structure of TlHg2Rh. Source: Alexandria via LeMat-Bulk, functional meta-GGA SCAN.

Values from the calculation:
Final energy   -241.0 eV for the cell shown
Crystal system   cubic
Symmetry   F-43m
Magnetic moment   0.0 μB/cell

Lattice parameters (Å, degrees): 4.7996 4.7996 4.7996 60.00 60.00 60.00
Last column: nearest neighbours and their distance in Å.
Element x y z (fractional)
Tl1 0.0000 0.0000 0.0000  4 Rh 2.94, 4 Hg 2.94
Hg1 0.2500 0.2500 0.2500  4 Hg 2.94, 4 Tl 2.94
Hg2 0.5000 0.5000 0.5000  4 Rh 2.94, 4 Hg 2.94
Rh1 0.7500 0.7500 0.7500  4 Tl 2.94, 4 Hg 2.94

---

(8)
A PBEsol-optimized structure of TlHg2Rh. Source: Alexandria via LeMat-Bulk, functional meta-GGA SCAN.

Values from the calculation:
Final energy   -242.1 eV for the cell shown
Crystal system   orthorhombic
Symmetry   Imm2
Magnetic moment   0.0 μB/cell

Lattice parameters (Å, degrees): 6.8767 6.8767 6.8767 154.38 141.45 46.86
Last column: nearest neighbours and their distance in Å.
Element x y z (fractional)
Tl1 0.0000 0.0000 0.0000  2 Rh 2.79, 2 Tl 3.05
Hg1 0.3085 0.8085 0.5000  4 Rh 2.74, 2 Hg 3.05
Hg2 0.6311 0.6311 0.0000  2 Rh 2.78, 2 Hg 3.05
Rh1 0.8152 0.3152 0.5000  6 Hg 2.74-2.78, 2 Tl 2.79, 2 Rh 3.05

---

(9)
A PBEsol-optimized structure of HgRh2W. Source: Alexandria via LeMat-Bulk, functional meta-GGA SCAN.

Values from the calculation:
Final energy   -203.9 eV for the cell shown
Crystal system   monoclinic
Symmetry   P2/m
Magnetic moment   0.0 μB/cell

Lattice parameters (Å, degrees): 4.7962 2.7955 5.0068 90.00 113.68 90.00
Last column: nearest neighbours and their distance in Å.
Element x y z (fractional)
Hg1 0.0000 0.0000 0.0000  6 Rh 2.68-2.78, 2 Hg 2.80, 4 W 2.87
Rh1 0.5000 0.0000 0.5000  2 Hg 2.68, 4 W 2.78, 6 Rh 2.80-2.87
Rh2 0.5000 0.5000 0.0000  2 W 2.68, 4 Hg 2.78, 6 Rh 2.80-2.87
W1 0.0000 0.5000 0.5000  6 Rh 2.68-2.78, 2 W 2.80, 4 Hg 2.87

---

(10)
A PBEsol-optimized structure of HgRhW. Source: Alexandria via LeMat-Bulk, functional meta-GGA SCAN.

Values from the calculation:
Final energy   -170.2 eV for the cell shown
Crystal system   trigonal
Symmetry   P3m1
Magnetic moment   0.0 μB/cell

Lattice parameters (Å, degrees): 4.4734 4.4734 2.7983 90.00 90.00 120.00
Last column: nearest neighbours and their distance in Å.
Element x y z (fractional)
Hg1 0.0000 0.0000 0.0000  3 Rh 2.76, 2 Hg 2.80, 6 W 2.90-2.97
Rh1 0.3333 0.6667 0.3453  3 W 2.63, 3 Hg 2.76, 2 Rh 2.80
W1 0.6667 0.3333 0.5254  3 Rh 2.63, 2 W 2.80, 3 Hg 2.90

---

(11)
A PBEsol-optimized structure of HgRh2W. Source: Alexandria via LeMat-Bulk, functional meta-GGA SCAN.

Values from the calculation:
Final energy   -204.6 eV for the cell shown
Crystal system   monoclinic
Symmetry   Cm
Magnetic moment   0.0 μB/cell

Lattice parameters (Å, degrees): 4.8869 4.8869 4.7527 100.44 100.44 33.46
Last column: nearest neighbours and their distance in Å.
Element x y z (fractional)
Hg1 0.0000 0.0000 0.0000  7 Rh 2.71-2.80, 2 Hg 2.81, 3 W 2.89-2.96
Rh1 0.2451 0.2451 0.7757  4 W 2.66-2.87, 3 Hg 2.71-2.80, 5 Rh 2.80-2.95
Rh2 0.5003 0.5003 0.4944  3 W 2.65-2.75, 4 Hg 2.74-2.79, 5 Rh 2.80-2.95
W1 0.7614 0.7614 0.3079  7 Rh 2.65-2.87, 2 W 2.81, 3 Hg 2.89-2.96

---

(12)
A PBEsol-optimized structure of Hg3RhW. Source: Alexandria via LeMat-Bulk, functional meta-GGA SCAN.

Values from the calculation:
Final energy   -300.4 eV for the cell shown
Crystal system   cubic
Symmetry   Pm-3m
Magnetic moment   5.3 μB/cell

Lattice parameters (Å, degrees): 5.0342 5.0342 5.0342 90.00 90.00 90.00
Last column: nearest neighbours and their distance in Å.
Element x y z (fractional)
Hg1 0.0000 0.0000 0.5000  2 Rh 2.52
Hg2 0.0000 0.5000 0.0000  2 Rh 2.52
Hg3 0.5000 0.0000 0.0000  2 Rh 2.52
Rh1 0.0000 0.0000 0.0000  6 Hg 2.52
W1 0.5000 0.5000 0.5000  12 Hg 3.56

---

(13)
A PBEsol-optimized structure of HgRh2W2. Source: Alexandria via LeMat-Bulk, functional meta-GGA SCAN.

Values from the calculation:
Final energy   -272.2 eV for the cell shown
Crystal system   tetragonal
Symmetry   I4/mmm
Magnetic moment   0.0 μB/cell

Lattice parameters (Å, degrees): 6.4669 6.4669 6.4669 145.56 145.56 49.50
Last column: nearest neighbours and their distance in Å.
Element x y z (fractional)
Hg1 0.0000 0.0000 0.0000  8 W 2.99
Rh1 0.2500 0.7500 0.5000  4 W 2.54, 4 Rh 2.71
Rh2 0.7500 0.2500 0.5000  4 W 2.54, 4 Rh 2.71
W1 0.3921 0.3921 0.0000  1 W 2.54, 4 Rh 2.54
W2 0.6079 0.6079 0.0000  1 W 2.54, 4 Rh 2.54

---

(14)
A PBEsol-optimized structure of YHgRh3. Source: Alexandria via LeMat-Bulk, functional meta-GGA SCAN.

Values from the calculation:
Final energy   -193.0 eV for the cell shown
Crystal system   cubic
Symmetry   Pm-3m
Magnetic moment   1.2 μB/cell

Lattice parameters (Å, degrees): 4.8270 4.8270 4.8270 90.00 90.00 90.00
Last column: nearest neighbours and their distance in Å.
Element x y z (fractional)
Y1 0.0000 0.0000 0.0000  12 Rh 3.41
Hg1 0.5000 0.5000 0.5000  6 Rh 2.41
Rh1 0.0000 0.5000 0.5000  2 Hg 2.41
Rh2 0.5000 0.0000 0.5000  2 Hg 2.41
Rh3 0.5000 0.5000 0.0000  2 Hg 2.41

---

(15)
A PBEsol-optimized structure of YHgRh. Source: Alexandria via LeMat-Bulk, functional meta-GGA SCAN.

Values from the calculation:
Final energy   -131.7 eV for the cell shown
Crystal system   tetragonal
Symmetry   I4mm
Magnetic moment   0.0 μB/cell

Lattice parameters (Å, degrees): 5.2981 5.2981 5.2981 140.74 140.74 56.73
Last column: nearest neighbours and their distance in Å.
Element x y z (fractional)
Y1 0.0000 0.0000 0.0000  4 Rh 2.88, 5 Hg 2.94-3.05
Hg1 0.6849 0.6849 0.0000  5 Y 2.94-3.05, 5 Rh 2.95-3.12
Rh1 0.3500 0.3500 0.0000  4 Y 2.88, 5 Hg 2.95-3.12